(1)
Below is a relaxed BaBe2Si crystal, with properties calculated at the PBE level.

Cell and atoms, written as POSCAR:
```
BaBe2Si
1.0
-1.113 4.667 0.631
-3.136 -0.251 -3.677
-7.549 0.271 3.236
Be Si Ba
4 2 2
direct
0.375 0.125 0.250
0.375 0.625 0.250
0.375 0.625 0.750
0.875 0.625 0.750
0.500 0.500 0.000
0.250 0.750 0.500
0.000 0.000 0.000
0.750 0.250 0.500
```

Results
- formation energy (no corrections) (meV per atom) = 135
- energy (eV/atom) = -3.56

(2)
Below is a relaxed K2TlIn2Te4 crystal, with properties calculated at the PBE level.

Cell and atoms, written as POSCAR:
```
K2TlIn2Te4
1.0
5.122 0.000 0.000
-2.561 8.843 0.314
0.000 -2.717 7.763
K Tl In Te
2 1 2 4
direct
0.880 0.760 0.462
0.120 0.240 0.538
0.000 0.000 0.000
0.333 0.665 0.997
0.667 0.335 0.003
0.790 0.581 0.812
0.210 0.419 0.188
0.472 0.945 0.271
0.528 0.055 0.729
```

Results
- formation energy (no corrections) (meV per atom) = -570
- energy (eV/atom) = -3.08

(3)
Below is a relaxed Sc4Ga3Pd crystal, with properties calculated at the PBE level.

Cell and atoms, written as POSCAR:
```
Sc4Ga3Pd
1.0
-0.427 1.979 -2.829
1.763 -3.041 -2.394
-9.515 -4.286 -1.563
Sc Ga Pd
4 3 1
direct
0.500 0.500 0.345
0.000 0.500 0.860
0.000 0.000 0.145
0.500 0.000 0.653
0.000 0.500 0.578
0.000 0.000 0.422
0.500 0.000 0.919
0.500 0.500 0.080
```

Results
- ΔE_f (meV per atom) = -668
- relative energy among the computed polymorphs (meV per atom) = 11
- energy (eV/atom) = -5.62

(4)
Below is a relaxed PrY8Tm4 crystal, with properties calculated at the PBE level.

Cell and atoms, written as POSCAR:
```
PrY8Tm4
1.0
6.415 0.000 -3.461
-4.141 5.998 0.000
1.197 0.827 9.894
Pr Y Tm
1 8 4
direct
0.000 0.500 0.500
0.564 0.782 0.346
0.436 0.218 0.654
0.500 0.250 0.302
0.948 0.198 0.698
0.500 0.750 0.698
0.948 0.750 0.698
0.052 0.250 0.302
0.052 0.802 0.302
0.000 0.000 0.000
0.000 0.500 0.000
0.500 0.500 0.000
0.500 0.000 0.000
```

Results
- ΔE_f (meV per atom) = 207
- energy (eV/atom) = -5.51

(5)
Below is a relaxed InCo2Cu crystal, with properties calculated at the PBE level.

Cell and atoms, written as POSCAR:
```
InCo2Cu
1.0
-2.091 -3.692 -0.754
-0.051 -1.097 5.516
-3.971 2.168 0.395
Co Cu In
4 2 2
direct
0.000 0.500 0.366
0.500 0.292 0.219
0.500 0.708 0.219
0.500 0.500 0.703
0.000 0.287 0.858
0.000 0.713 0.858
0.000 0.000 0.316
0.500 0.000 0.749
```

Results
- ΔE_f (meV per atom) = 183
- energy (eV/atom) = -5.08

(6)
Below is a relaxed Y6Bi5H crystal, with properties calculated at the PBE level.

Cell and atoms, written as POSCAR:
```
Y6Bi5H
1.0
7.655 0.207 0.000
2.354 7.260 0.000
1.177 3.630 6.575
Y Bi H
6 5 1
direct
0.756 0.081 0.329
0.244 0.590 0.329
0.258 0.246 0.000
0.742 0.754 0.000
0.756 0.410 0.671
0.244 0.919 0.671
0.500 0.171 0.657
0.000 0.335 0.329
0.500 0.500 0.000
0.000 0.665 0.671
0.500 0.829 0.343
0.000 0.000 0.000
```

Results
- energy (eV/atom) = -5.80

(7)
Below is a relaxed SnPSe2 crystal, with properties calculated at the PBE level.

Cell and atoms, written as POSCAR:
```
SnPSe2
1.0
0.000 3.477 3.477
3.477 0.000 3.477
3.477 3.477 0.000
P Sn Se
1 1 2
direct
0.000 0.000 0.000
0.500 0.500 0.500
0.250 0.250 0.250
0.750 0.750 0.750
```

Results
- formation energy (no corrections) (meV per atom) = 358
- relative energy among the computed polymorphs (meV per atom) = 202
- energy (eV/atom) = -3.74

(8)
Below is a relaxed VNi4Os crystal, with properties calculated at the PBE level.

Cell and atoms, written as POSCAR:
```
VNi4Os
1.0
-0.276 -2.804 -3.681
-1.320 -4.410 0.540
-4.142 -1.386 -1.552
Ni Os V
4 1 1
direct
0.625 0.625 0.125
0.625 0.125 0.625
0.625 0.625 0.625
0.125 0.625 0.625
0.000 0.000 0.000
0.250 0.250 0.250
```

Results
- ΔE_f (meV per atom) = -3
- energy (eV/atom) = -7.25

no.,ρ (g/cm³)
1,3.48
2,4.77
3,5.27
4,6.08
5,8.94
6,7.24
7,6.08
8,11.22